# 1
This record from Alexandria via LeMat-Bulk describes a relaxed structure of AgTe2Au. The functional is GGA-PBE.

Results
Crystal system   orthorhombic
SG   Immm, No. 71

The structure in extended XYZ format:
```
4
Lattice="6.697 -0.013 -0.004 3.934 5.419 0.004 -5.205 -2.919 3.037" Properties=species:S:1:pos:R:3 pbc="T T T"
Ag 3.403 -0.114 1.517
Te 1.005 0.511 0.000
Te 4.310 2.192 0.000
Au 2.022 2.602 1.521
```

=====

# 2
This record from Alexandria via LeMat-Bulk describes a relaxed structure of AgTe2Au. The functional is GGA-PBE.

Results
Crystal system   orthorhombic
SG   Pmmm, No. 47

The structure in extended XYZ format:
```
4
Lattice="4.107 0.000 0.000 0.000 7.137 -0.053 0.000 4.742 3.345" Properties=species:S:1:pos:R:3 pbc="T T T"
Te 0.000 0.000 0.000
Te 2.053 3.569 -0.026
Au 0.000 2.371 1.673
Ag 2.053 5.940 1.646
```

=====

no.,offset from the most stable computed form (meV per atom),total energy (eV/cell),formation energy without anion corrections (kcal/mol of atoms)
1,0,-12.55,-0.79
2,23,-12.46,-0.26